Record 1
The following is a PBE calculation of crystalline Pm2AgPdO5 at its relaxed geometry, from the Alexandria database.

Summary:
For the energy relative to the elements, uncorrected, the calculation gives -181 kJ per mole of atoms. Its crystal system is tetragonal. As for the size of the total moment: 2.0 μB/cell. For the total DFT energy (no corrections), the calculation gives -6.58 eV per atom.

Cell: 6.7770 6.7770 5.7775 Å, 90.00 90.00 90.00°
Space group P4/mbm (No. 127)
Symmetry-distinct sites (fractional):
Pm: 0.1745 0.3255 0.0000
Ag: 0.0000 0.0000 0.5000
Pd: 0.0000 0.5000 0.5000
O: 0.0000 0.0000 0.0000
O: 0.1362 0.6362 0.2436

=====

Record 2
The following is a PBE calculation of crystalline SrTl2W at its relaxed geometry, from the Alexandria database.

Summary:
The offset from the most stable computed form is 181 meV per atom. Its crystal system is monoclinic. As for the size of the total moment: 0.0 μB/cell. For the total DFT energy (no corrections), the calculation gives -4.05 eV per atom.

Cell: 3.3396 5.5628 5.6792 Å, 90.00 90.10 90.00°
Space group Pm (No. 6)
Symmetry-distinct sites (fractional):
Sr: 0.0000 0.0000 0.0000
Tl: 0.4993 0.0000 0.4833
Tl: 0.4992 0.5000 0.8758
W: 0.5030 0.5000 0.3766

=====

Record 3
The following is a PBE calculation of crystalline YZrN at its relaxed geometry, from the Alexandria database.

Summary:
The offset from the most stable computed form is 781 meV per atom. For the energy relative to the elements, uncorrected, the calculation gives -27 kJ per mole of atoms. Its crystal system is tetragonal. As for the size of the total moment: 0.0 μB/cell. For the total DFT energy (no corrections), the calculation gives -8.06 eV per atom.

Cell: 3.6840 3.6840 8.4479 Å, 90.00 90.00 90.00°
Space group P4/nmm (No. 129, origin choice 2)
Symmetry-distinct sites (fractional):
Y: 0.2500 0.2500 0.1744
Zr: 0.2500 0.7500 0.5000
N: 0.2500 0.2500 0.6910

=====

Record 4
The following is a PBE calculation of crystalline AcTbSb at its relaxed geometry, from the Alexandria database.

Summary:
The offset from the most stable computed form is 315 meV per atom. For the energy relative to the elements, uncorrected, the calculation gives -47 kJ per mole of atoms. Its crystal system is trigonal. As for the size of the total moment: 0.0 μB/cell. For the total DFT energy (no corrections), the calculation gives -4.77 eV per atom.

Cell: 5.2491 5.2491 4.3713 Å, 90.00 90.00 120.00°
Space group P3m1 (No. 156)
Symmetry-distinct sites (fractional):
Ac: 0.0000 0.0000 0.0000
Tb: 0.6667 0.3333 0.4998
Sb: 0.3333 0.6667 0.5010

=====

Record 5
The following is a PBE calculation of crystalline YNiH8Ir2 at its relaxed geometry, from the Alexandria database.

Summary:
Its crystal system is trigonal. As for the size of the total moment: 0.0 μB/cell. For the total DFT energy (no corrections), the calculation gives -4.89 eV per atom.

Cell: 4.5861 4.5861 16.4167 Å, 90.00 90.00 120.00°
Space group R-3 (No. 148, hexagonal axes)
Symmetry-distinct sites (fractional):
Y: 0.0000 0.0000 0.0000
Ni: 0.0000 0.0000 0.5000
H: 0.0000 0.0000 0.3176
H: 0.0166 0.7146 0.5614
Ir: 0.0000 0.0000 0.2189

=====

Record 6
The following is a PBE calculation of crystalline Cd2GaRhCl at its relaxed geometry, from the Alexandria database.

Summary:
For the energy relative to the elements, uncorrected, the calculation gives 66 kJ per mole of atoms. Its crystal system is tetragonal. As for the size of the total moment: 1.5 μB/cell. For the total DFT energy (no corrections), the calculation gives -2.13 eV per atom.

Cell: 5.1069 5.1069 5.0428 Å, 90.00 90.00 90.00°
Space group P4/mmm (No. 123)
Symmetry-distinct sites (fractional):
Cd: 0.0000 0.5000 0.0000
Ga: 0.0000 0.0000 0.0000
Rh: 0.5000 0.5000 0.5000
Cl: 0.0000 0.0000 0.5000

=====

- What is the size of the total moment in the fourth record?
  0.0 μB/cell